[1]
! PBEsol LaHf3B, optimized geometry; values from VASP
&SYSTEM
  ibrav = 0, nat = 5, ntyp = 3
/
ATOMIC_SPECIES
La 138.91 La.upf
Hf 178.49 Hf.upf
B 10.81 B.upf
ATOMIC_POSITIONS angstrom
La 0.000 0.000 0.000
Hf 0.000 0.000 2.506
Hf 0.000 2.506 0.000
Hf 2.506 0.000 0.000
B 2.506 2.506 2.506
CELL_PARAMETERS angstrom
5.012 0.000 0.000
0.000 5.012 0.000
0.000 0.000 5.012
! - Crystal system: cubic
! - Size of the total moment: 0.000 μB/f.u.
! - Electronic total energy: -31.6 eV/f.u.
! - N(E_F): 6.7 states/eV per cell

[2]
! PBEsol Cs6GaSb3, optimized geometry; values from VASP
&SYSTEM
  ibrav = 0, nat = 20, ntyp = 3
/
ATOMIC_SPECIES
Cs 132.91 Cs.upf
Ga 69.72 Ga.upf
Sb 121.76 Sb.upf
ATOMIC_POSITIONS angstrom
Cs 0.278 1.604 0.965
Cs -0.524 1.604 5.530
Cs 0.779 4.811 9.656
Cs 1.532 1.604 12.101
Cs 3.258 1.604 4.002
Cs 2.813 1.604 7.837
Cs 5.496 4.811 4.510
Cs 5.052 4.811 8.345
Cs 6.777 4.811 0.246
Cs 7.530 1.604 2.691
Cs 8.833 4.811 6.817
Cs 8.032 4.811 11.382
Ga 1.208 4.811 3.447
Ga 7.102 1.604 8.900
Sb -1.149 1.604 9.476
Sb 1.901 4.811 5.980
Sb 3.037 4.811 1.510
Sb 5.273 1.604 10.836
Sb 6.408 1.604 6.367
Sb 9.459 4.811 2.871
CELL_PARAMETERS angstrom
10.796 0.000 0.000
0.000 6.415 0.000
-2.487 0.000 12.347
! - Crystal system: monoclinic
! - Size of the total moment: 0.000 μB/f.u.
! - ΔE_f (raw): -43.8 kJ/mol of atoms
! - Electronic total energy: -27.2 eV/f.u.

[3]
! PBEsol Rb2GaSb2, optimized geometry; values from VASP
&SYSTEM
  ibrav = 0, nat = 40, ntyp = 3
/
ATOMIC_SPECIES
Rb 85.47 Rb.upf
Ga 69.72 Ga.upf
Sb 121.76 Sb.upf
ATOMIC_POSITIONS angstrom
Rb 0.273 0.338 2.080
Rb 0.273 5.017 2.080
Rb 3.524 5.709 5.574
Rb 3.524 10.355 5.574
Rb 4.146 0.355 0.956
Rb 4.146 5.000 0.956
Rb 7.397 5.692 6.698
Rb 7.397 10.372 6.698
Rb 7.943 0.338 2.537
Rb 7.943 5.017 2.537
Rb 11.194 5.709 8.279
Rb 11.194 10.355 8.279
Rb 11.816 0.355 3.661
Rb 11.816 5.000 3.661
Rb 15.067 5.692 7.155
Rb 15.067 10.372 7.155
Ga 1.431 2.677 5.531
Ga 2.772 8.032 2.562
Ga 4.897 2.677 7.180
Ga 6.239 8.032 0.913
Ga 9.101 2.677 8.322
Ga 10.442 8.032 2.055
Ga 12.567 2.677 6.673
Ga 13.909 8.032 3.705
Sb 1.022 8.032 4.510
Sb 2.074 8.032 0.064
Sb 2.360 2.677 7.929
Sb 3.011 2.677 3.498
Sb 4.659 8.032 8.115
Sb 5.310 8.032 3.311
Sb 5.596 2.677 4.681
Sb 6.648 2.677 9.128
Sb 8.691 8.032 0.107
Sb 9.744 8.032 4.554
Sb 10.030 2.677 5.924
Sb 10.681 2.677 1.120
Sb 12.329 8.032 5.738
Sb 12.979 8.032 1.306
Sb 13.266 2.677 9.172
Sb 14.318 2.677 4.725
CELL_PARAMETERS angstrom
15.340 0.000 0.000
0.000 10.710 0.000
0.000 0.000 9.235
! - Crystal system: orthorhombic
! - Size of the total moment: 0.000 μB/f.u.
! - ΔE_f (raw): -37.6 kJ/mol of atoms
! - Electronic total energy: -16.5 eV/f.u.

[4]
! PBEsol MgHg7, optimized geometry; values from VASP
&SYSTEM
  ibrav = 0, nat = 8, ntyp = 2
/
ATOMIC_SPECIES
Mg 24.30 Mg.upf
Hg 200.59 Hg.upf
ATOMIC_POSITIONS angstrom
Mg 0.000 0.000 0.000
Hg 2.242 2.242 0.000
Hg 2.242 0.000 2.242
Hg 4.484 2.242 2.242
Hg 0.000 2.242 2.242
Hg 2.242 4.484 2.242
Hg 2.242 2.242 4.484
Hg 4.484 4.484 4.484
CELL_PARAMETERS angstrom
0.000 4.484 4.484
4.484 0.000 4.484
4.484 4.484 0.000
! - Crystal system: cubic
! - Size of the total moment: 0.000 μB/f.u.
! - Electronic total energy: -6.1 eV/f.u.
! - N(E_F): 3.5 states/eV per cell

[5]
! PBEsol SrNi2Te3Cl2O8, optimized geometry; values from VASP
&SYSTEM
  ibrav = 0, nat = 64, ntyp = 5
/
ATOMIC_SPECIES
Sr 87.62 Sr.upf
Ni 58.69 Ni.upf
Te 127.60 Te.upf
Cl 35.45 Cl.upf
O 16.00 O.upf
ATOMIC_POSITIONS angstrom
Sr -1.664 0.627 5.123
Sr -4.881 3.733 14.269
Sr 5.055 4.987 4.023
Sr 1.837 8.093 13.169
Ni -2.261 4.736 12.462
Ni 0.956 8.344 3.316
Ni 0.663 6.489 5.757
Ni -2.555 6.591 14.903
Ni 2.728 2.129 3.389
Ni -0.489 2.231 12.536
Ni -0.783 0.376 14.976
Ni 2.434 3.984 5.830
Te -0.549 2.161 2.151
Te -3.766 2.199 11.297
Te -3.690 0.603 16.453
Te -0.473 3.757 7.307
Te 1.724 5.173 2.435
Te -1.493 7.907 11.581
Te 1.667 0.813 6.712
Te -1.551 3.547 15.858
Te 0.646 4.963 10.986
Te 3.863 8.117 1.839
Te 3.940 6.521 6.995
Te 0.723 6.559 16.142
Cl -2.027 5.187 10.146
Cl 1.190 7.893 1.000
Cl -0.346 1.919 10.215
Cl 2.871 2.441 1.069
Cl -2.698 6.279 17.224
Cl 0.520 6.801 8.078
Cl -1.017 0.827 17.293
Cl 2.201 3.533 8.146
O -5.344 0.048 15.561
O -2.126 4.312 6.414
O -4.592 6.197 14.789
O -1.375 6.883 5.643
O -3.198 0.289 11.468
O 0.019 4.071 2.321
O 0.806 1.609 3.355
O -2.411 2.750 12.501
O -0.322 1.994 6.634
O -3.539 2.365 15.781
O 0.788 6.357 3.632
O -2.429 6.723 12.778
O 0.467 4.478 5.787
O -2.750 8.602 14.934
O -2.400 4.627 14.519
O 0.818 8.453 5.373
O -0.644 0.267 12.920
O 2.573 4.093 3.773
O 2.924 0.118 3.359
O -0.293 4.242 12.505
O 2.603 1.997 5.515
O -0.614 2.363 14.661
O 3.713 6.354 2.512
O 0.496 6.725 11.658
O 2.585 5.969 5.791
O -0.633 7.110 14.938
O 0.155 4.649 15.971
O 3.372 8.430 6.825
O 1.548 1.837 12.650
O 4.765 2.523 3.503
O 2.300 4.408 11.878
O 5.517 8.672 2.732
CELL_PARAMETERS angstrom
6.608 0.000 0.000
0.000 8.720 0.000
-6.435 0.000 18.293
! - Crystal system: monoclinic
! - Size of the total moment: 3.836 μB/f.u.
! - ΔE_f (raw): -117.6 kJ/mol of atoms
! - Electronic total energy: -90.2 eV/f.u.

[6]
! PBEsol LiNi2Hg, optimized geometry; values from VASP
&SYSTEM
  ibrav = 0, nat = 4, ntyp = 3
/
ATOMIC_SPECIES
Li 6.94 Li.upf
Ni 58.69 Ni.upf
Hg 200.59 Hg.upf
ATOMIC_POSITIONS angstrom
Li 0.000 0.000 0.000
Ni 1.518 1.518 1.234
Ni 1.518 1.518 4.377
Hg 0.000 0.000 2.805
CELL_PARAMETERS angstrom
3.037 0.000 0.000
0.000 3.037 0.000
0.000 0.000 5.611
! - Crystal system: tetragonal
! - Size of the total moment: 0.000 μB/f.u.
! - Electronic total energy: -14.3 eV/f.u.
! - N(E_F): 1.9 states/eV per cell